VASP calculation (GGA+U) on crystalline CrGeSO at its relaxed geometry.

Cell: 3.252 3.576 6.213 Å, 76.46 90.06 89.98°
Element x y z (fractional)
Cr: 0.370 0.488 0.885
Ge: 0.872 0.953 0.354
S: 0.870 0.024 0.786
O: 0.372 0.253 0.247

Results
space group = P1 (1)
total energy = -24.076 eV per cell